1.
Below is Pr6Ru2Rh after structural relaxation, with properties calculated at the PBE-GGA level.

It has space group C2/c (No. 15), with a = 15.456 Å, b = 10.613 Å, c = 6.457 Å, α = 90.00°, β = 108.45° and γ = 90.00°. Symmetry generates all atoms from Pr at (0.097, 0.091, 0.118), Pr at (0.105, 0.429, 0.158), Pr at (0.176, 0.245, 0.696), Ru at (0.242, 0.007, 0.983) and Rh at (0.000, 0.294, 0.750).

The calculation puts the formation energy at -0.2309 eV per atom. Its density of states at the Fermi level is 0.96 states/eV per atom. The total magnetic moment comes out at 0.00 μB/f.u. Its volume is 27.9 Å³/atom. The total energy is -226.6 eV/cell.


2.
Below is Pr5Ru2Rh after structural relaxation, with properties calculated at the PBE-GGA level.

It has space group I4/mcm (No. 140), with a = 7.692 Å, b = 7.692 Å, c = 14.187 Å, α = 90.00°, β = 90.00° and γ = 90.00°. Symmetry generates all atoms from Pr at (0.000, 0.000, 0.000), Pr at (0.173, 0.327, 0.141), Ru at (0.125, 0.375, 0.500) and Rh at (0.000, 0.000, 0.250).

The calculation puts the formation energy at -0.2739 eV per atom. Its density of states at the Fermi level is 0.87 states/eV per atom. The total magnetic moment comes out at 0.00 μB/f.u. Its volume is 26.2 Å³/atom. The total energy is -208.0 eV/cell.